This record from the Open Quantum Materials Database describes a relaxed SmZn crystal. The functional is GGA-PBE. Values from VASP.

Cell and atoms, written as Quantum ESPRESSO input:
```
&SYSTEM
  ibrav = 0, nat = 12, ntyp = 2
/
ATOMIC_SPECIES
Zn 65.41 Zn.upf
Sm 150.36 Sm.upf
CELL_PARAMETERS angstrom
7.933 -1.662 0.000
0.073 7.045 0.000
0.000 0.000 5.226
ATOMIC_POSITIONS crystal
Zn 0.880 0.844 0.500
Sm 0.137 0.589 0.500
Sm 0.532 0.888 0.500
Sm 0.356 0.835 0.000
Zn 0.676 0.657 0.000
Sm 0.752 0.133 0.000
Zn 0.956 0.509 0.000
Zn 0.213 0.065 0.500
Sm 0.277 0.306 0.000
Zn 0.933 0.213 0.500
Sm 0.612 0.416 0.500
Zn 0.009 0.878 0.000
```

Calculated values
Volume = 24.394 Å³ per atom
Symmetry = No. 11
DFT formation energy = -0.15 eV/f.u.

---

This record from the Open Quantum Materials Database describes a relaxed SmZn crystal. The functional is GGA-PBE. Values from VASP.

Cell and atoms, written as Quantum ESPRESSO input:
```
&SYSTEM
  ibrav = 0, nat = 8, ntyp = 2
/
ATOMIC_SPECIES
Zn 65.41 Zn.upf
Sm 150.36 Sm.upf
CELL_PARAMETERS angstrom
-5.294 -3.553 -1.718
5.545 -3.042 1.897
-1.601 0.070 4.791
ATOMIC_POSITIONS crystal
Zn 0.036 0.518 0.000
Sm 0.000 0.000 0.000
Zn 0.482 0.964 0.000
Sm 0.347 0.174 0.500
Sm 0.826 0.174 0.500
Zn 0.333 0.667 0.500
Sm 0.826 0.653 0.500
Zn 0.482 0.518 0.000
```

Calculated values
Volume = 23.845 Å³ per atom
Symmetry = No. 187
DFT formation energy = 0.16 eV/f.u.

---

This record from the Open Quantum Materials Database describes a relaxed Sm3Zn11 crystal. The functional is GGA-PBE. Values from VASP.

Cell and atoms, written as Quantum ESPRESSO input:
```
&SYSTEM
  ibrav = 0, nat = 14, ntyp = 2
/
ATOMIC_SPECIES
Zn 65.41 Zn.upf
Sm 150.36 Sm.upf
CELL_PARAMETERS angstrom
-0.409 1.274 8.108
-7.998 0.047 1.888
6.597 -4.204 -2.516
ATOMIC_POSITIONS crystal
Zn 0.500 0.000 0.500
Zn 0.983 0.342 0.641
Zn 0.298 0.658 0.641
Zn 0.683 0.500 0.183
Zn 0.317 0.500 0.817
Zn 0.702 0.342 0.359
Zn 0.421 0.139 0.282
Sm 0.705 0.705 0.000
Zn 0.143 0.861 0.282
Sm 0.000 0.000 0.000
Sm 0.295 0.295 0.000
Zn 0.017 0.658 0.359
Zn 0.579 0.861 0.718
Zn 0.857 0.139 0.718
```

Calculated values
Volume = 18.365 Å³ per atom
Symmetry = No. 71
DFT formation energy = -4.74 eV/f.u.

---

no.,magnetization (μB/f.u.)
1,0.0
2,0.0
3,0.0